Record 1
LaInTe2, optimized geometry, DFT PBE; density = 6.046 Mg/m³; DFT total energy = -17.94 eV/f.u.; uncorrected formation energy = -998.5 meV per atom
1.0
4.621 0.000 0.000
0.000 4.627 0.000
0.000 0.000 6.537
In La Te
1 1 2
direct
0.000 0.000 0.375
0.500 0.500 0.876
0.500 0.500 0.375
0.000 0.000 0.874


Record 2
LaIn2Te, optimized geometry, DFT PBE; E above lowest polymorph = 37 meV per atom; density = 7.136 Mg/m³; DFT total energy = -16.01 eV/f.u.; uncorrected formation energy = -617.0 meV per atom
1.0
5.974 -0.034 -0.013
4.019 4.420 -0.013
1.989 0.873 4.345
In La Te
2 1 1
direct
0.000 0.000 0.000
0.250 0.250 0.250
0.500 0.500 0.500
0.750 0.750 0.750


Record 3
LaIn2Te2, optimized geometry, DFT PBE; E above lowest polymorph = 135 meV per atom; density = 6.235 Mg/m³; DFT total energy = -19.48 eV/f.u.; uncorrected formation energy = -559.3 meV per atom
1.0
-3.533 -1.651 7.356
-6.733 -2.963 -3.899
1.952 -4.377 -0.045
La Te In
2 4 4
direct
0.000 0.000 0.000
0.500 0.500 0.000
0.846 0.654 0.000
0.154 0.346 0.000
0.654 0.154 0.000
0.346 0.846 0.000
0.161 0.661 0.500
0.839 0.339 0.500
0.661 0.839 0.500
0.339 0.161 0.500


Record 4
LaIn3Te4, optimized geometry, DFT PBE; density = 6.001 Mg/m³; DFT total energy = -30.86 eV/f.u.; uncorrected formation energy = -644.1 meV per atom
1.0
-0.143 4.496 0.408
-3.628 1.989 1.813
5.209 1.086 14.857
Te In La
4 3 1
direct
0.374 0.374 0.878
0.130 0.130 0.609
0.870 0.870 0.391
0.626 0.626 0.122
0.246 0.246 0.263
0.754 0.754 0.737
0.500 0.500 0.500
0.000 0.000 0.000


Record 5
LaInTe2, optimized geometry, DFT PBE; density = 6.858 Mg/m³; DFT total energy = -15.99 eV/f.u.; uncorrected formation energy = -510.2 meV per atom
1.0
5.586 0.000 0.000
2.793 4.837 0.000
2.793 1.612 4.561
Te In La
2 1 1
direct
0.250 0.250 0.250
0.000 0.000 0.000
0.500 0.500 0.500
0.750 0.750 0.750


Record 6
LaIn2Te, optimized geometry, DFT PBE; E above lowest polymorph = 0 meV per atom; density = 7.246 Mg/m³; DFT total energy = -16.16 eV/f.u.; uncorrected formation energy = -654.4 meV per atom
1.0
-0.450 -3.239 3.368
4.488 -1.241 -0.594
1.429 3.477 3.534
In La Te
2 1 1
direct
0.000 0.000 0.000
0.500 0.500 0.000
0.500 0.000 0.500
0.000 0.500 0.500


Q: Among the records above, which one has the lowest density?
A: LaIn3Te4